Here is Li7SiHg3 after structural relaxation from Alexandria. Energies are from PBE-GGA.

Output
- Magnetization: 0.000 μB per atom
- Formation energy (no corrections): -0.1835 eV per atom
- D(E_F): 0.367 states/eV per atom
- VASP energy: -1.98 eV per atom
- Symmetry: No. 63

Cell lengths 13.623, 13.623, 10.415 Å; angles 90.00, 90.00, 167.65 degrees
Atoms (fractional coordinates):
Li1 0.026 0.974 0.750
Li2 0.045 0.955 0.047
Li3 0.045 0.955 0.453
Li4 0.135 0.865 0.125
Li5 0.135 0.865 0.375
Li6 0.203 0.797 0.591
Li7 0.203 0.797 0.909
Li8 0.797 0.203 0.091
Li9 0.797 0.203 0.409
Li10 0.865 0.135 0.625
Li11 0.865 0.135 0.875
Li12 0.955 0.045 0.547
Li13 0.955 0.045 0.953
Li14 0.974 0.026 0.250
Si1 0.437 0.563 0.750
Si2 0.563 0.437 0.250
Hg1 0.286 0.714 0.750
Hg2 0.387 0.613 0.108
Hg3 0.387 0.613 0.392
Hg4 0.613 0.387 0.608
Hg5 0.613 0.387 0.892
Hg6 0.714 0.286 0.250

Here is FeSb6Pd after structural relaxation from Alexandria. Energies are from PBE-GGA.

Output
- Magnetization: 0.000 μB per atom
- Formation energy (no corrections): -0.1919 eV per atom
- D(E_F): 0.067 states/eV per atom
- VASP energy: -4.99 eV per atom
- Symmetry: No. 12

Cell lengths 8.036, 8.036, 9.311 Å; angles 125.10, 125.10, 70.48 degrees
Atoms (fractional coordinates):
Fe1 0.000 0.500 0.000
Fe2 0.500 0.000 0.000
Sb1 0.147 0.832 0.152
Sb2 0.168 0.853 0.848
Sb3 0.181 0.506 0.333
Sb4 0.325 0.325 0.985
Sb5 0.351 0.351 0.699
Sb6 0.494 0.819 0.667
Sb7 0.506 0.181 0.333
Sb8 0.649 0.649 0.301
Sb9 0.675 0.675 0.015
Sb10 0.819 0.494 0.667
Sb11 0.832 0.147 0.152
Sb12 0.853 0.168 0.848
Pd1 0.000 0.500 0.500
Pd2 0.500 0.000 0.500

Here is PmInS2 after structural relaxation from Alexandria. Energies are from PBE-GGA.

Output
- Magnetization: 0.000 μB per atom
- Formation energy (no corrections): -0.6484 eV per atom
- D(E_F): 0.572 states/eV per atom
- VASP energy: -4.58 eV per atom
- Symmetry: No. 166

Cell lengths 8.697, 8.697, 8.697 Å; angles 25.67, 25.67, 25.67 degrees
Atoms (fractional coordinates):
Pm1 0.000 0.000 0.000
In1 0.500 0.500 0.500
S1 0.109 0.109 0.109
S2 0.891 0.891 0.891